Record 1
K2CdTc (GGA-PBE, relaxed); calculated total energy = -2.44 eV/atom; crystal system = orthorhombic; ρ = 3.38 g cm⁻³
1.0
6.2878 -0.0790 -0.0076
1.7409 6.0425 0.0076
-3.5173 -3.6509 3.7205
Cd K Tc
1 2 1
Direct
0.3085 0.8085 0.5000 Cd
0.0269 0.0269 0.0000 K
0.7249 0.2249 0.5000 K
0.4397 0.4397 0.0000 Tc

Record 2
K2CdTc (GGA-PBE, relaxed); calculated total energy = -2.33 eV/atom; crystal system = orthorhombic; ρ = 4.30 g cm⁻³
1.0
6.4900 0.0147 -0.0467
3.4591 5.4914 0.0467
-4.9499 -2.7976 3.1297
Cd K Tc
1 2 1
Direct
0.2500 0.7500 0.5000 Cd
0.9988 0.9988 0.0000 K
0.5012 0.5012 0.0000 K
0.7500 0.2500 0.5000 Tc

Record 3
K4CdTc (GGA-PBE, relaxed); calculated total energy = -1.59 eV/atom; crystal system = cubic; ρ = 2.27 g cm⁻³
1.0
-0.6638 -6.5227 3.0789
-5.3268 -4.4535 -2.0632
1.5396 -5.9718 -3.7991
K Cd Tc
4 1 1
Direct
0.8738 0.3754 0.3754 K
0.3754 0.3754 0.8738 K
0.3754 0.8738 0.3754 K
0.3754 0.3754 0.3754 K
0.0000 0.0000 0.0000 Cd
0.7500 0.7500 0.7500 Tc

Record 4
K2CdTc (GGA-PBE, relaxed); calculated total energy = -2.36 eV/atom; crystal system = cubic; ρ = 4.04 g cm⁻³
1.0
5.5153 -0.0143 0.0000
0.0202 5.5153 0.0000
-2.7678 -2.7505 3.8979
Cd K Tc
1 2 1
Direct
0.7500 0.2500 0.5000 Cd
0.0000 0.0000 0.0000 K
0.2500 0.7500 0.5000 K
0.5000 0.5000 0.0000 Tc

Record 5
K2CdTc (GGA-PBE, relaxed); calculated total energy = -2.34 eV/atom; crystal system = monoclinic; ρ = 4.63 g cm⁻³
1.0
6.7398 0.0046 0.0198
-2.7964 5.9143 -0.0091
1.1471 0.6024 2.6018
Cd K Tc
1 2 1
Direct
0.5000 0.5000 0.0000 Cd
0.0000 0.0000 0.0000 K
0.5000 0.0000 0.5000 K
0.0000 0.5000 0.5000 Tc

Record 6
K2CdTc (GGA-PBE, relaxed); calculated total energy = -2.34 eV/atom; crystal system = monoclinic; ρ = 4.87 g cm⁻³
1.0
6.1841 0.0124 -0.0424
5.5031 2.8213 -0.0424
0.6526 0.1582 5.6580
Cd K Tc
1 2 1
Direct
0.2500 0.2500 0.2500 Cd
0.0062 0.0062 0.9924 K
0.4938 0.4938 0.5076 K
0.7500 0.7500 0.7500 Tc

Q: Look up the calculated total energy of the fourth one.
A: -2.36 eV/atom

Please write out number 1 again, unchanged.
K2CdTc (GGA-PBE, relaxed); calculated total energy = -2.44 eV/atom; crystal system = orthorhombic; ρ = 3.38 g cm⁻³
1.0
6.2878 -0.0790 -0.0076
1.7409 6.0425 0.0076
-3.5173 -3.6509 3.7205
Cd K Tc
1 2 1
Direct
0.3085 0.8085 0.5000 Cd
0.0269 0.0269 0.0000 K
0.7249 0.2249 0.5000 K
0.4397 0.4397 0.0000 Tc

Copy entry 1 word for word.
K2CdTc (GGA-PBE, relaxed); calculated total energy = -2.44 eV/atom; crystal system = orthorhombic; ρ = 3.38 g cm⁻³
1.0
6.2878 -0.0790 -0.0076
1.7409 6.0425 0.0076
-3.5173 -3.6509 3.7205
Cd K Tc
1 2 1
Direct
0.3085 0.8085 0.5000 Cd
0.0269 0.0269 0.0000 K
0.7249 0.2249 0.5000 K
0.4397 0.4397 0.0000 Tc